An optimized crystal structure of KMg2Hg. Source: Alexandria via LeMat-Bulk, functional PBE. Values from VASP.

**ΔE_f**: 32 kJ/mol of formula units
**Mass density**: 3961 kg/m3

```
&SYSTEM
  ibrav = 0, nat = 4, ntyp = 3
/
ATOMIC_SPECIES
Hg 200.59 Hg.upf
K 39.10 K.upf
Mg 24.30 Mg.upf
CELL_PARAMETERS angstrom
-4.558 -2.371 9.319
-6.986 -3.872 7.031
-4.001 -5.743 8.015
ATOMIC_POSITIONS crystal
Hg 0.512 0.512 0.512
K 0.756 0.756 0.756
Mg 0.987 0.987 0.987
Mg 0.246 0.246 0.246
```



An optimized crystal structure of KMg3Hg2. Source: Alexandria via LeMat-Bulk, functional PBE. Values from VASP.

**ΔE_f**: -87 kJ/mol of formula units
**Mass density**: 4944 kg/m3

```
&SYSTEM
  ibrav = 0, nat = 12, ntyp = 3
/
ATOMIC_SPECIES
K 39.10 K.upf
Mg 24.30 Mg.upf
Hg 200.59 Hg.upf
CELL_PARAMETERS angstrom
4.631 0.000 0.000
-2.315 8.352 -3.467
0.000 -0.370 9.067
ATOMIC_POSITIONS crystal
K 0.845 0.690 0.934
K 0.155 0.310 0.066
Mg 0.318 0.636 0.558
Mg 0.964 0.928 0.632
Mg 0.589 0.178 0.662
Mg 0.411 0.822 0.338
Mg 0.036 0.072 0.368
Mg 0.682 0.364 0.442
Hg 0.479 0.958 0.828
Hg 0.521 0.042 0.172
Hg 0.813 0.627 0.340
Hg 0.187 0.373 0.660
```



An optimized crystal structure of KMg2Hg2. Source: Alexandria via LeMat-Bulk, functional PBE. Values from VASP.

**ΔE_f**: -66 kJ/mol of formula units
**Mass density**: 6112 kg/m3
**E above lowest polymorph**: 39 meV/atom

```
&SYSTEM
  ibrav = 0, nat = 10, ntyp = 3
/
ATOMIC_SPECIES
Mg 24.30 Mg.upf
K 39.10 K.upf
Hg 200.59 Hg.upf
CELL_PARAMETERS angstrom
8.825 0.000 0.000
0.000 8.825 0.000
0.000 0.000 3.411
ATOMIC_POSITIONS crystal
Mg 0.135 0.635 0.500
Mg 0.635 0.865 0.500
Mg 0.865 0.365 0.500
Mg 0.365 0.135 0.500
K 0.000 0.000 0.000
K 0.500 0.500 0.000
Hg 0.344 0.844 0.000
Hg 0.844 0.656 0.000
Hg 0.656 0.156 0.000
Hg 0.156 0.344 0.000
```



An optimized crystal structure of K3MgHg12. Source: Alexandria via LeMat-Bulk, functional PBE. Values from VASP.

**ΔE_f**: -257 kJ/mol of formula units
**Mass density**: 9004 kg/m3

```
&SYSTEM
  ibrav = 0, nat = 16, ntyp = 3
/
ATOMIC_SPECIES
K 39.10 K.upf
Mg 24.30 Mg.upf
Hg 200.59 Hg.upf
CELL_PARAMETERS angstrom
-1.408 4.309 -2.069
-0.110 -2.186 -4.476
-18.155 -4.633 2.707
ATOMIC_POSITIONS crystal
K 0.000 0.000 0.234
K 0.000 0.000 0.500
K 0.000 0.000 0.766
Mg 0.000 0.000 0.000
Hg 0.500 0.500 0.000
Hg 0.500 0.500 0.228
Hg 0.500 0.500 0.500
Hg 0.500 0.500 0.772
Hg 0.500 0.000 0.105
Hg 0.500 0.000 0.367
Hg 0.500 0.000 0.633
Hg 0.500 0.000 0.895
Hg 0.000 0.500 0.105
Hg 0.000 0.500 0.367
Hg 0.000 0.500 0.633
Hg 0.000 0.500 0.895
```



An optimized crystal structure of KMg2Hg. Source: Alexandria via LeMat-Bulk, functional PBE. Values from VASP.

**ΔE_f**: 36 kJ/mol of formula units
**Mass density**: 4051 kg/m3

```
&SYSTEM
  ibrav = 0, nat = 4, ntyp = 3
/
ATOMIC_SPECIES
Hg 200.59 Hg.upf
K 39.10 K.upf
Mg 24.30 Mg.upf
CELL_PARAMETERS angstrom
-2.849 1.865 1.434
-2.226 -4.739 1.742
2.855 0.504 5.019
ATOMIC_POSITIONS crystal
Hg 0.500 0.000 0.500
K 0.000 0.500 0.500
Mg 0.000 0.000 0.000
Mg 0.500 0.500 0.000
```



An optimized crystal structure of KMgHg2. Source: Alexandria via LeMat-Bulk, functional PBE. Values from VASP.

**ΔE_f**: -41 kJ/mol of formula units
**Mass density**: 6250 kg/m3

```
&SYSTEM
  ibrav = 0, nat = 4, ntyp = 3
/
ATOMIC_SPECIES
Hg 200.59 Hg.upf
K 39.10 K.upf
Mg 24.30 Mg.upf
CELL_PARAMETERS angstrom
5.535 0.003 -0.008
4.360 3.410 -0.008
1.273 0.439 6.542
ATOMIC_POSITIONS crystal
Hg 0.002 0.002 0.056
Hg 0.731 0.731 0.794
K 0.492 0.492 0.520
Mg 0.276 0.276 0.131
```